# Mn2CdCl2O2 PBE+U relaxed
data_Mn2CdCl2O2
_chemical_formula_sum 'Mn4 Cd2 Cl4 O4'
_space_group_name_H-M_alt 'C 1 2/m 1'
_space_group_IT_number 12
_cell_length_a 12.112
_cell_length_b 3.630
_cell_length_c 6.039
_cell_angle_alpha 90.00
_cell_angle_beta 104.06
_cell_angle_gamma 90.00
loop_
_space_group_symop_operation_xyz
'x,y,z'
'-x,-y,-z'
'-x,y,-z'
'x,-y,z'
'x+1/2,y+1/2,z'
'-x+1/2,-y+1/2,-z'
'-x+1/2,y+1/2,-z'
'x+1/2,-y+1/2,z'
loop_
_atom_site_label
_atom_site_type_symbol
_atom_site_fract_x
_atom_site_fract_y
_atom_site_fract_z
_atom_site_occupancy
Mn1 Mn 0.210 0.000 0.285 1
Cd1 Cd 0.000 0.500 0.500 1
Cl1 Cl 0.127 0.000 0.854 1
O1 O 0.155 0.500 0.400 1
# Size of the total moment = 10.00 μB per formula unit
# Volume = 18.399 A^3/atom
# E = -77.37 eV for the cell shown